# HfCr2SeI, relaxed, DFT PBE
# - raw formation energy (eV per atom) = 0.89
data_HfCr2SeI
_chemical_formula_sum 'Hf1 Cr2 Se1 I1'
_cell_length_a 5.4943
_cell_length_b 4.9375
_cell_length_c 5.4943
_cell_angle_alpha 90.00
_cell_angle_beta 90.00
_cell_angle_gamma 90.00
_symmetry_space_group_name_H-M 'P 1'
_symmetry_Int_Tables_number 1
loop_
_symmetry_equiv_pos_as_xyz
'x,y,z'
loop_
_atom_site_label
_atom_site_fract_x
_atom_site_fract_y
_atom_site_fract_z
_atom_site_occupancy
Cr1 0.0000 0.0000 0.5000 1
Se1 0.0000 0.5000 0.0000 1
Hf1 0.0000 0.0000 0.0000 1
Cr2 0.5000 0.0000 0.0000 1
I1 0.5000 0.5000 0.5000 1

# NbI2BrN, relaxed, DFT PBE
# - raw formation energy (eV per atom) = 1.61
# - polymorph energy (0 for the lowest one) (kJ/mol of atoms) = 142.75
data_NbI2BrN
_chemical_formula_sum 'Nb1 I2 Br1 N1'
_cell_length_a 6.1645
_cell_length_b 6.1645
_cell_length_c 3.7133
_cell_angle_alpha 90.00
_cell_angle_beta 90.00
_cell_angle_gamma 90.00
_symmetry_space_group_name_H-M 'P 1'
_symmetry_Int_Tables_number 1
loop_
_symmetry_equiv_pos_as_xyz
'x,y,z'
loop_
_atom_site_label
_atom_site_fract_x
_atom_site_fract_y
_atom_site_fract_z
_atom_site_occupancy
N1 0.0000 0.0000 0.5000 1
I1 0.5000 0.0000 0.0000 1
Br1 0.0000 0.0000 0.0000 1
I2 0.0000 0.5000 0.0000 1
Nb1 0.5000 0.5000 0.5000 1